A | SrLaRe2 | PBE-GGA | optimized geometry

a b c (Å): 3.163 4.057 8.574
angles (deg): 90.00 91.68 90.00
Fractional positions:
Sr 0.000 0.000 0.000
La 0.766 0.500 0.415
Re 0.193 0.000 0.645
Re 0.558 0.500 0.735

Summary:
Symmetry ... Pm (6)



B | SrLaRe2 | PBE-GGA | optimized geometry

a b c (Å): 2.837 2.837 10.603
angles (deg): 90.00 90.00 90.00
Fractional positions:
Sr 0.000 0.000 0.000
La 0.000 0.000 0.500
Re 0.500 0.500 0.251
Re 0.500 0.500 0.749

Summary:
Symmetry ... P4/mmm (123)



Quick one: least stable of them? B



A | Si2Te | PBE-GGA | optimized geometry

a b c (Å): 3.817 3.817 9.929
angles (deg): 90.00 90.00 120.00
Fractional positions:
Si 0.333 0.667 0.053
Si 0.333 0.667 0.447
Si 0.667 0.333 0.553
Si 0.667 0.333 0.947
Te 0.000 0.000 0.250
Te 0.000 0.000 0.750

Summary:
Symmetry ... P6_3/mmc (194)



B | Si2Te | PBE-GGA | optimized geometry

a b c (Å): 6.776 6.776 3.791
angles (deg): 90.00 90.00 90.00
Fractional positions:
Si 0.212 0.212 0.000
Si 0.288 0.712 0.500
Si 0.712 0.288 0.500
Si 0.788 0.788 0.000
Te 0.000 0.000 0.500
Te 0.500 0.500 0.000

Summary:
Symmetry ... P4_2/mnm (136)



Quick one: least stable of them? B



A | LiFeSi2 | PBE-GGA | optimized geometry

a b c (Å): 7.831 7.831 7.831
angles (deg): 144.26 144.26 51.44
Fractional positions:
Li 0.000 0.000 0.000
Li 0.750 0.250 0.500
Fe 0.250 0.750 0.500
Fe 0.500 0.500 0.000
Si 0.310 0.625 0.185
Si 0.375 0.560 0.685
Si 0.440 0.125 0.815
Si 0.875 0.690 0.315

Summary:
Symmetry ... I-42d (122)



B | LiFeSi2 | PBE-GGA | optimized geometry

a b c (Å): 3.585 3.585 3.555
angles (deg): 90.00 90.00 90.00
Fractional positions:
Li 0.000 0.000 0.000
Fe 0.500 0.500 0.000
Si 0.000 0.500 0.500
Si 0.500 0.000 0.500

Summary:
Symmetry ... P4/mmm (123)



Quick one: least stable of them? A